Here is AlAu2 after structural relaxation from the Alexandria database. Energies are from PBE.

Cell: 11.8667 11.8667 11.8667 Å, 90.00 90.00 90.00°
Space group Fd-3m (No. 227, origin choice 2)
One atom of each set of equivalent atoms:
1 Al 0.0350 0.0350 0.2150 (multiplicity 32)
2 Au 0.0000 0.0000 0.0000 (multiplicity 16)
3 Au 0.0549 0.3750 0.8750 (multiplicity 48)

Calculated values
As for the total energy: -3.654 eV per atom. The crystal system is cubic.

---

Here is AlAu2 after structural relaxation from the Alexandria database. Energies are from PBE.

Cell: 9.0243 17.1592 3.2793 Å, 90.00 90.00 90.00°
Space group Pnnm (No. 58)
One atom of each set of equivalent atoms:
1 Al 0.0000 0.0000 0.0000 (multiplicity 2)
2 Al 0.0228 0.2018 0.0000 (multiplicity 4)
3 Al 0.0303 0.5986 0.0000 (multiplicity 4)
4 Au 0.1338 0.8932 0.5000 (multiplicity 4)
5 Au 0.1378 0.3140 0.5000 (multiplicity 4)
6 Au 0.1549 0.4852 0.5000 (multiplicity 4)
7 Au 0.1694 0.7136 0.5000 (multiplicity 4)
8 Au 0.1745 0.0952 0.5000 (multiplicity 4)

Calculated values
As for the total energy: -3.743 eV per atom. The crystal system is orthorhombic.

---

Here is Al2Au after structural relaxation from the Alexandria database. Energies are from PBE.

Cell: 10.3662 3.2194 6.4859 Å, 90.00 108.76 90.00°
Space group C2/m (No. 12)
One atom of each set of equivalent atoms:
1 Al 0.1429 0.0000 0.0291 (multiplicity 4)
2 Al 0.1727 0.0000 0.6295 (multiplicity 4)
3 Au 0.0508 0.5000 0.2956 (multiplicity 4)

Calculated values
As for the total energy: -3.767 eV per atom. The crystal system is monoclinic.

---

Here is Al3Au after structural relaxation from the Alexandria database. Energies are from PBE.

Cell: 5.5855 5.5855 5.0017 Å, 90.00 90.00 120.00°
Space group P6_3/mmc (No. 194)
One atom of each set of equivalent atoms:
1 Al 0.1648 0.3296 0.2500 (multiplicity 6)
2 Au 0.3333 0.6667 0.7500 (multiplicity 2)

Calculated values
As for the total energy: -3.697 eV per atom. The crystal system is hexagonal.

---

Here is Al5Au after structural relaxation from the Alexandria database. Energies are from PBE.

Cell: 2.9310 2.9310 11.6617 Å, 90.00 90.00 90.00°
Space group P4/mmm (No. 123)
One atom of each set of equivalent atoms:
1 Al 0.0000 0.0000 0.0000 (multiplicity 1)
2 Al 0.0000 0.0000 0.3374 (multiplicity 2)
3 Al 0.5000 0.5000 0.1657 (multiplicity 2)
4 Au 0.5000 0.5000 0.5000 (multiplicity 1)

Calculated values
As for the total energy: -3.741 eV per atom. The crystal system is tetragonal.

---

Here is Al4Au5 after structural relaxation from the Alexandria database. Energies are from PBE.

Cell: 11.4530 8.3191 3.3629 Å, 90.00 106.60 90.00°
Space group C2/m (No. 12)
One atom of each set of equivalent atoms:
1 Al 0.1540 0.1811 0.1527 (multiplicity 8)
2 Au 0.0000 0.0000 0.5000 (multiplicity 2)
3 Au 0.0000 0.3359 0.5000 (multiplicity 4)
4 Au 0.2061 0.5000 0.2047 (multiplicity 4)

Calculated values
The energy above the lowest structure with this stoichiometry comes out at 0 meV/atom. As for the total energy: -3.784 eV per atom. The crystal system is monoclinic.

---

Here is AlAu4 after structural relaxation from the Alexandria database. Energies are from PBE.

Cell: 5.8922 5.8922 5.8922 Å, 90.00 90.00 90.00°
Space group Im-3m (No. 229)
One atom of each set of equivalent atoms:
1 Al 0.0000 0.0000 0.0000 (multiplicity 2)
2 Au 0.2500 0.2500 0.2500 (multiplicity 8)

Calculated values
The energy above the lowest structure with this stoichiometry comes out at 178 meV/atom. As for the total energy: -3.402 eV per atom. The crystal system is cubic.

---

Here is Al3Au after structural relaxation from the Alexandria database. Energies are from PBE.

Cell: 6.5063 6.5063 6.5063 Å, 90.00 90.00 90.00°
Space group Fm-3m (No. 225)
One atom of each set of equivalent atoms:
1 Al 0.0000 0.0000 0.0000 (multiplicity 4)
2 Al 0.2500 0.2500 0.2500 (multiplicity 8)
3 Au 0.0000 0.0000 0.5000 (multiplicity 4)

Calculated values
As for the total energy: -3.613 eV per atom. The crystal system is cubic.

---

| no. | energy of formation (meV/atom) |
| --- | --- |
| 1 | -222 |
| 2 | -311 |
| 3 | -179 |
| 4 | -71 |
| 5 | -76 |
| 6 | -300 |
| 7 | -32 |
| 8 | 13 |